The following is a DFT calculation (GGA+U) of a relaxed CsZnCr2O8 crystal.

```
CsZnCr2O8
1.0
-3.436 -3.019 -2.704
-2.992 -3.565 2.563
-8.311 3.802 1.094
Cs Zn Cr O
1 1 2 8
Direct
0.500 0.500 0.500
0.000 0.000 0.000
0.267 0.267 0.199
0.733 0.733 0.801
0.204 0.204 0.389
0.610 0.231 0.140
0.796 0.796 0.611
0.019 0.610 0.140
0.981 0.390 0.860
0.231 0.019 0.140
0.769 0.981 0.860
0.390 0.769 0.860
```

E_tot = -0.21916 Ha/atom